1.
First-principles (PBE) data for crystalline Ba2ZnAgS at its relaxed geometry, as listed in Alexandria.

Summary:
Space group: P4/mmm, No. 123
D(E_F) (states/eV/cell): 3.985
Theoretical density (g/cm³): 4.40
Crystal system: tetragonal
Electronic total energy (eV/atom): -2.94

a = 6.114 Å, b = 6.114 Å, c = 4.850 Å
α = 90.00°, β = 90.00°, γ = 90.00°
Fractional positions:
Ba 0.000 0.500 0.000
Ba 0.500 0.000 0.000
Zn 0.000 0.000 0.500
Ag 0.500 0.500 0.500
S 0.500 0.500 0.000

***

2.
First-principles (PBE) data for crystalline NaSrV2Rh at its relaxed geometry, as listed in Alexandria.

Summary:
Formation energy from the elements (eV/atom): 2.276
Space group: P4/mmm, No. 123
D(E_F) (states/eV/cell): 5.989
Theoretical density (g/cm³): 5.09
Crystal system: tetragonal

a = 4.619 Å, b = 4.619 Å, c = 4.821 Å
α = 90.00°, β = 90.00°, γ = 90.00°
Fractional positions:
Na 0.000 0.000 0.000
Sr 0.000 0.000 0.500
V 0.000 0.500 0.500
V 0.500 0.000 0.500
Rh 0.500 0.500 0.000

***

3.
First-principles (PBE) data for crystalline CaNdTl at its relaxed geometry, as listed in Alexandria.

Summary:
Formation energy from the elements (eV/atom): -0.370
Offset from the most stable computed form (eV/atom): 0.000
Space group: P6_3/mmc, No. 194
D(E_F) (states/eV/cell): 1.942
Theoretical density (g/cm³): 6.94
Crystal system: hexagonal

a = 5.533 Å, b = 5.533 Å, c = 7.015 Å
α = 90.00°, β = 90.00°, γ = 120.00°
Fractional positions:
Ca 0.000 0.000 0.000
Ca 0.000 0.000 0.500
Nd 0.333 0.667 0.250
Nd 0.667 0.333 0.750
Tl 0.333 0.667 0.750
Tl 0.667 0.333 0.250

***

4.
First-principles (PBE) data for crystalline HfTa2AuN at its relaxed geometry, as listed in Alexandria.

Summary:
Space group: P4/mmm, No. 123
D(E_F) (states/eV/cell): 1.642
Theoretical density (g/cm³): 15.62
Crystal system: tetragonal
Electronic total energy (eV/atom): -9.68

a = 4.213 Å, b = 4.213 Å, c = 4.501 Å
α = 90.00°, β = 90.00°, γ = 90.00°
Fractional positions:
Hf 0.000 0.000 0.000
Ta 0.000 0.500 0.500
Ta 0.500 0.000 0.500
Au 0.500 0.500 0.000
N 0.000 0.000 0.500

***

5.
First-principles (PBE) data for crystalline N at its relaxed geometry, as listed in Alexandria.

Summary:
Offset from the most stable computed form (eV/atom): 1.496
Space group: I2_13, No. 199
D(E_F) (states/eV/cell): 0.000
Theoretical density (g/cm³): 3.39
Crystal system: cubic

a = 3.802 Å, b = 3.802 Å, c = 3.802 Å
α = 90.00°, β = 90.00°, γ = 90.00°
Fractional positions:
N 0.165 0.165 0.165
N 0.165 0.835 0.335
N 0.335 0.165 0.835
N 0.335 0.835 0.665
N 0.665 0.335 0.835
N 0.665 0.665 0.665
N 0.835 0.335 0.165
N 0.835 0.665 0.335

***

6.
First-principles (PBE) data for crystalline EuErZnRh at its relaxed geometry, as listed in Alexandria.

Summary:
Formation energy from the elements (eV/atom): -0.435
Space group: F-43m, No. 216
D(E_F) (states/eV/cell): 22.865
Theoretical density (g/cm³): 9.23
Crystal system: cubic

a = 7.054 Å, b = 7.054 Å, c = 7.054 Å
α = 90.00°, β = 90.00°, γ = 90.00°
Fractional positions:
Eu 0.000 0.000 0.000
Eu 0.000 0.500 0.500
Eu 0.500 0.000 0.500
Eu 0.500 0.500 0.000
Er 0.000 0.000 0.500
Er 0.000 0.500 0.000
Er 0.500 0.000 0.000
Er 0.500 0.500 0.500
Zn 0.250 0.250 0.750
Zn 0.250 0.750 0.250
Zn 0.750 0.250 0.250
Zn 0.750 0.750 0.750
Rh 0.250 0.250 0.250
Rh 0.250 0.750 0.750
Rh 0.750 0.250 0.750
Rh 0.750 0.750 0.250

***

7.
First-principles (PBE) data for crystalline Tm2TiGa at its relaxed geometry, as listed in Alexandria.

Summary:
Formation energy from the elements (eV/atom): 0.206
Offset from the most stable computed form (eV/atom): 0.386
Space group: R-3m, No. 166
D(E_F) (states/eV/cell): 12.365
Theoretical density (g/cm³): 7.68
Crystal system: trigonal

a = 3.288 Å, b = 3.288 Å, c = 31.558 Å
α = 90.00°, β = 90.00°, γ = 120.00°
Fractional positions:
Tm 0.000 0.000 0.094
Tm 0.000 0.000 0.906
Tm 0.333 0.667 0.573
Tm 0.333 0.667 0.761
Tm 0.667 0.333 0.239
Tm 0.667 0.333 0.427
Ti 0.000 0.000 0.000
Ti 0.333 0.667 0.667
Ti 0.667 0.333 0.333
Ga 0.000 0.000 0.500
Ga 0.333 0.667 0.167
Ga 0.667 0.333 0.833

***

8.
First-principles (PBE) data for crystalline TaP2SF at its relaxed geometry, as listed in Alexandria.

Summary:
Offset from the most stable computed form (eV/atom): 0.000
Space group: P4/mmm, No. 123
D(E_F) (states/eV/cell): 3.978
Theoretical density (g/cm³): 4.50
Crystal system: tetragonal

a = 4.821 Å, b = 4.821 Å, c = 4.665 Å
α = 90.00°, β = 90.00°, γ = 90.00°
Fractional positions:
Ta 0.000 0.000 0.000
P 0.000 0.500 0.000
P 0.500 0.000 0.000
S 0.000 0.000 0.500
F 0.500 0.500 0.500

***

9.
First-principles (PBE) data for crystalline Mg2TiH at its relaxed geometry, as listed in Alexandria.

Summary:
Offset from the most stable computed form (eV/atom): 0.000
Space group: I-42d, No. 122
D(E_F) (states/eV/cell): 9.997
Theoretical density (g/cm³): 2.36
Crystal system: tetragonal

a = 5.870 Å, b = 5.870 Å, c = 7.964 Å
α = 90.00°, β = 90.00°, γ = 90.00°
Fractional positions:
Mg 0.074 0.750 0.125
Mg 0.250 0.074 0.875
Mg 0.250 0.426 0.375
Mg 0.426 0.750 0.625
Mg 0.574 0.250 0.625
Mg 0.750 0.574 0.375
Mg 0.750 0.926 0.875
Mg 0.926 0.250 0.125
Ti 0.000 0.000 0.500
Ti 0.000 0.500 0.750
Ti 0.500 0.000 0.250
Ti 0.500 0.500 0.000
H 0.000 0.000 0.000
H 0.000 0.500 0.250
H 0.500 0.000 0.750
H 0.500 0.500 0.500

***

10.
First-principles (PBE) data for crystalline Hf2InNiH at its relaxed geometry, as listed in Alexandria.

Summary:
Space group: P4/mmm, No. 123
D(E_F) (states/eV/cell): 5.196
Theoretical density (g/cm³): 11.53
Crystal system: tetragonal
Electronic total energy (eV/atom): -6.57

a = 4.367 Å, b = 4.367 Å, c = 4.015 Å
α = 90.00°, β = 90.00°, γ = 90.00°
Fractional positions:
Hf 0.000 0.500 0.000
Hf 0.500 0.000 0.000
In 0.000 0.000 0.500
Ni 0.500 0.500 0.500
H 0.500 0.500 0.000

***

11.
First-principles (PBE) data for crystalline Tl4Ag at its relaxed geometry, as listed in Alexandria.

Summary:
Formation energy from the elements (eV/atom): 0.254
Offset from the most stable computed form (eV/atom): 0.046
Space group: I4/mmm, No. 139
D(E_F) (states/eV/cell): 4.522
Theoretical density (g/cm³): 9.72
Crystal system: tetragonal

a = 4.320 Å, b = 4.320 Å, c = 16.940 Å
α = 90.00°, β = 90.00°, γ = 90.00°
Fractional positions:
Tl 0.000 0.000 0.089
Tl 0.000 0.000 0.911
Tl 0.000 0.500 0.250
Tl 0.000 0.500 0.750
Tl 0.500 0.000 0.250
Tl 0.500 0.000 0.750
Tl 0.500 0.500 0.411
Tl 0.500 0.500 0.589
Ag 0.000 0.000 0.500
Ag 0.500 0.500 0.000

***

12.
First-principles (PBE) data for crystalline Cr2ReTe at its relaxed geometry, as listed in Alexandria.

Summary:
Space group: Immm, No. 71
D(E_F) (states/eV/cell): 7.584
Theoretical density (g/cm³): 11.76
Crystal system: orthorhombic
Electronic total energy (eV/atom): -8.10

a = 3.177 Å, b = 4.351 Å, c = 8.535 Å
α = 90.00°, β = 90.00°, γ = 90.00°
Fractional positions:
Cr 0.000 0.000 0.244
Cr 0.000 0.000 0.756
Cr 0.500 0.500 0.256
Cr 0.500 0.500 0.744
Re 0.000 0.500 0.000
Re 0.500 0.000 0.500
Te 0.000 0.500 0.500
Te 0.500 0.000 0.000

***

13.
First-principles (PBE) data for crystalline KYBi2F at its relaxed geometry, as listed in Alexandria.

Summary:
Space group: P4/mmm, No. 123
D(E_F) (states/eV/cell): 2.229
Theoretical density (g/cm³): 6.82
Crystal system: tetragonal
Electronic total energy (eV/atom): -4.27

a = 5.405 Å, b = 5.405 Å, c = 4.711 Å
α = 90.00°, β = 90.00°, γ = 90.00°
Fractional positions:
K 0.000 0.000 0.000
Y 0.500 0.500 0.000
Bi 0.000 0.500 0.500
Bi 0.500 0.000 0.500
F 0.000 0.000 0.500

***

14.
First-principles (PBE) data for crystalline CaAc2Zn at its relaxed geometry, as listed in Alexandria.

Summary:
Formation energy from the elements (eV/atom): -0.105
Offset from the most stable computed form (eV/atom): 0.000
Space group: P4/mmm, No. 123
D(E_F) (states/eV/cell): 4.391
Theoretical density (g/cm³): 6.27
Crystal system: tetragonal

a = 3.968 Å, b = 3.968 Å, c = 9.408 Å
α = 90.00°, β = 90.00°, γ = 90.00°
Fractional positions:
Ca 0.000 0.000 0.000
Ac 0.500 0.500 0.304
Ac 0.500 0.500 0.696
Zn 0.000 0.000 0.500

***

15.
First-principles (PBE) data for crystalline LaGeS2Cl at its relaxed geometry, as listed in Alexandria.

Summary:
Offset from the most stable computed form (eV/atom): 0.000
Space group: P4/mmm, No. 123
D(E_F) (states/eV/cell): 4.176
Theoretical density (g/cm³): 4.38
Crystal system: tetragonal

a = 4.965 Å, b = 4.965 Å, c = 4.780 Å
α = 90.00°, β = 90.00°, γ = 90.00°
Fractional positions:
La 0.000 0.000 0.000
Ge 0.500 0.500 0.500
S 0.000 0.500 0.500
S 0.500 0.000 0.500
Cl 0.500 0.500 0.000